10
Lattice="4.0323 0.0000 0.0000 0.0000 4.4855 0.0000 0.0000 0.0000 11.4595" Properties=species:S:1:pos:R:3 comment="PrZn2SnIr | Alexandria | PBE-GGA | optimized geometry" delta_e_f_kj_per_mol_atoms=-34.1 total_energy_ev_per_atom=-4.3922 space_group=Imm2 vol_a3_per_atom=20.7 total_magnetization_mub_per_fu=0.00 pbc="T T T"
Pr 0.0000 0.0000 0.0000
Pr 2.0161 2.2428 5.7297
Zn 0.0000 0.0000 6.9418
Zn 0.0000 2.2428 2.7072
Zn 2.0161 0.0000 8.4369
Zn 2.0161 2.2428 1.2121
Sn 0.0000 0.0000 4.2361
Sn 2.0161 2.2428 9.9658
Ir 0.0000 2.2428 8.1736
Ir 2.0161 0.0000 2.4438